This record from Alexandria describes a relaxed structure of EuTmPb. The functional is PBE.

a = 5.314 Å, b = 5.314 Å, c = 5.314 Å
α = 60.00°, β = 60.00°, γ = 60.00°
Element x y z (fractional)
Eu (0.000, 0.000, 0.000)
Tm (0.500, 0.500, 0.500)
Pb (0.750, 0.750, 0.750)

Results
calculated volume	106.1	Å³/cell
final energy	-19.14	eV for the cell shown
magnetic moment	7.69	μB/cell
formation energy from the elements	-0.227	eV/atom